Crystalline CrBiS2 at its relaxed geometry. Source: Alexandria via LeMat-Bulk, functional PBE-GGA.

- formation energy without anion corrections (meV per atom) = -426

Lattice parameters (Å, degrees): 3.1869 5.5899 9.5896 84.63 80.49 89.98
Closest atoms and distances in Å follow each position.
Space group P-1 (No. 2)
Asymmetric unit:
Cr1 0.2466 0.3062 0.0068 x2  6 S 2.24-2.41
Bi1 0.0437 0.7713 0.4131 x2  1 S 2.79
S1 0.1900 0.9013 0.1204 x2  3 Cr 2.37-2.41
S2 0.3338 0.6046 0.8314 x2  3 Cr 2.24-2.30